The following is a PBE calculation of a relaxed LiHo2Pd4 crystal, from Alexandria via LeMat-Bulk.

Total energy   -5.0665 eV per atom
Density   9.44 g/cm3
Total magnetization   0.00 μB/atom
Formation energy   -0.518 eV/atom
SG   I4/mmm, No. 139

abc: 4.2913 4.2913 7.8917
angles: 105.78 105.78 90.00
Positions (direct):
Pd (0.8418, 0.8418, 0.6837)
Pd (0.1582, 0.1582, 0.3163)
Ho (0.3504, 0.3504, 0.7007)
Pd (0.0000, 0.5000, 0.0000)
Ho (0.6496, 0.6496, 0.2993)
Li (0.0000, 0.0000, 0.0000)
Pd (0.5000, 0.0000, 0.0000)